Entry 1:
Below is crystalline V4ZnRh7 at its relaxed geometry, with properties calculated at the PBE-GGA level.

CIF file:
```
data_V4ZnRh7
_chemical_formula_sum 'V8 Zn2 Rh14'
_cell_length_a 11.600
_cell_length_b 4.487
_cell_length_c 8.813
_cell_angle_alpha 90.00
_cell_angle_beta 126.86
_cell_angle_gamma 90.00
_symmetry_space_group_name_H-M 'C 1 2/m 1'
_symmetry_Int_Tables_number 12
_symmetry_space_group_name_Hall '-C 2y'
loop_
_atom_site_label
_atom_site_type_symbol
_atom_site_fract_x
_atom_site_fract_y
_atom_site_fract_z
_atom_site_occupancy
V1 V 0.080 0.000 0.289 1
V2 V 0.216 0.000 0.840 1
Zn1 Zn 0.000 0.500 0.500 1
Rh1 Rh 0.000 0.000 0.500 1
Rh2 Rh 0.081 0.500 0.835 1
Rh3 Rh 0.145 0.000 0.080 1
Rh4 Rh 0.212 0.500 0.365 1
```



Entry 2:
Below is crystalline AgHg2Rh at its relaxed geometry, with properties calculated at the PBE-GGA level.

CIF file:
```
data_AgHg2Rh
_chemical_formula_sum 'Ag2 Hg4 Rh2'
_cell_length_a 4.351
_cell_length_b 4.351
_cell_length_c 7.801
_cell_angle_alpha 90.00
_cell_angle_beta 90.00
_cell_angle_gamma 90.00
_symmetry_space_group_name_H-M 'I 4/m m m'
_symmetry_Int_Tables_number 139
_symmetry_space_group_name_Hall '-I 4 2'
loop_
_atom_site_label
_atom_site_type_symbol
_atom_site_fract_x
_atom_site_fract_y
_atom_site_fract_z
_atom_site_occupancy
Ag1 Ag 0.000 0.000 0.000 1
Hg1 Hg 0.000 0.500 0.250 1
Rh1 Rh 0.000 0.000 0.500 1
```



Entry 3:
Below is crystalline Ac2Cd16Ag at its relaxed geometry, with properties calculated at the PBE-GGA level.

CIF file:
```
data_Ac2Cd16Ag
_chemical_formula_sum 'Ac6 Cd48 Ag3'
_cell_length_a 10.2112
_cell_length_b 10.2112
_cell_length_c 15.1132
_cell_angle_alpha 90.00
_cell_angle_beta 90.00
_cell_angle_gamma 120.00
_symmetry_space_group_name_H-M 'R 3 m'
_symmetry_Int_Tables_number 160
_symmetry_space_group_name_Hall 'R 3 -2"'
loop_
_atom_site_label
_atom_site_type_symbol
_atom_site_fract_x
_atom_site_fract_y
_atom_site_fract_z
_atom_site_occupancy
Ac1 Ac 0.0000 0.0000 0.0000 1
Ac2 Ac 0.0000 0.0000 0.3321 1
Cd1 Cd 0.0000 0.0000 0.7634 1
Cd2 Cd 0.0001 0.2929 0.6647 1
Cd3 Cd 0.0060 0.5030 0.1650 1
Cd4 Cd 0.0092 0.5046 0.8136 1
Cd5 Cd 0.1727 0.3454 0.8504 1
Ag1 Ag 0.0000 0.0000 0.5644 1
```



Number 1: calculated total energy -7.481 eV per atom, theoretical density 8.95 g/cm³, DFT formation energy -0.05 eV per atom. Number 2: calculated total energy -2.569 eV per atom, theoretical density 13.76 g/cm³, DFT formation energy 0.13 eV per atom. Number 3: calculated total energy -1.539 eV per atom, theoretical density 8.62 g/cm³, DFT formation energy -0.19 eV per atom.